{"formula": "ScFe2Ru", "functional": "GGA-PBE", "state": "relaxed", "lattice_angstrom": [[4.817, -0.061, -0.017], [1.207, 4.854, -0.134], [0.174, 0.685, 4.952]], "species": ["Sc", "Sc", "Fe", "Fe", "Fe", "Fe", "Ru", "Ru"], "fractional_positions": [[0.591, 0.952, 0.218], [0.513, 0.305, 0.658], [0.191, 0.586, 0.169], [0.407, 0.795, 0.752], [0.054, 0.121, 0.938], [0.711, 0.466, 0.117], [0.051, 0.134, 0.436], [0.930, 0.660, 0.680]], "energy_ev_per_atom": -8.157, "formation_enthalpy_0k_ev_per_atom": -0.024, "magmom_total_mub_per_fu": 4.4}